Below is Al2AgTe after structural relaxation, with properties calculated at the PBE level.

- calculated volume (Å³/cell) = 82.4
- E_form (uncorrected) (eV/atom) = 0.17
- total magnetization (μB/atom) = 0.000

Unit cell a=3.251 b=3.251 c=7.791 alpha=90.00 beta=90.00 gamma=90.00
Sites, in units of the cell vectors:
1 Al 0.000 0.000 0.214
2 Al 0.000 0.000 0.786
3 Ag 0.500 0.500 0.000
4 Te 0.500 0.500 0.500

=====

Below is SrTl2Os after structural relaxation, with properties calculated at the PBE level.

- calculated volume (Å³/cell) = 529.3
- energy relative to the elements (eV per atom) = 0.672
- total magnetization (μB/atom) = 0.000

Unit cell a=5.437 b=5.437 c=17.905 alpha=90.00 beta=90.00 gamma=90.00
Sites, in units of the cell vectors:
1 Sr 0.000 0.000 0.000
2 Sr 0.000 0.500 0.250
3 Sr 0.500 0.000 0.750
4 Sr 0.500 0.500 0.500
5 Tl 0.104 0.250 0.625
6 Tl 0.250 0.604 0.875
7 Tl 0.250 0.896 0.375
8 Tl 0.396 0.250 0.125
9 Tl 0.604 0.750 0.125
10 Tl 0.750 0.104 0.375
11 Tl 0.750 0.396 0.875
12 Tl 0.896 0.750 0.625
13 Os 0.000 0.000 0.500
14 Os 0.000 0.500 0.750
15 Os 0.500 0.000 0.250
16 Os 0.500 0.500 0.000

=====

Below is MnCd2Te after structural relaxation, with properties calculated at the PBE level.

- calculated volume (Å³/cell) = 91.4
- E_form (uncorrected) (eV/atom) = 0.21
- total magnetization (μB/atom) = 0.970

Unit cell a=4.001 b=4.001 c=5.708 alpha=90.00 beta=90.00 gamma=90.00
Sites, in units of the cell vectors:
1 Mn 0.000 0.000 0.000
2 Cd 0.500 0.500 0.239
3 Cd 0.500 0.500 0.761
4 Te 0.000 0.000 0.500

=====

Below is HoGaS2 after structural relaxation, with properties calculated at the PBE level.

- calculated volume (Å³/cell) = 286.9
- E_form (uncorrected) (eV/atom) = -1.37
- total magnetization (μB/atom) = 0.000

Unit cell a=3.957 b=3.957 c=21.158 alpha=90.00 beta=90.00 gamma=120.00
Sites, in units of the cell vectors:
1 Ho 0.000 0.000 0.000
2 Ho 0.333 0.667 0.667
3 Ho 0.667 0.333 0.333
4 Ga 0.000 0.000 0.500
5 Ga 0.333 0.667 0.167
6 Ga 0.667 0.333 0.833
7 S 0.000 0.000 0.262
8 S 0.000 0.000 0.738
9 S 0.333 0.667 0.405
10 S 0.333 0.667 0.928
11 S 0.667 0.333 0.072
12 S 0.667 0.333 0.595

=====

Below is ErCd3Ag2 after structural relaxation, with properties calculated at the PBE level.

- calculated volume (Å³/cell) = 264.9
- energy relative to the elements (eV per atom) = -0.143
- total magnetization (μB/atom) = 0.000

Unit cell a=7.511 b=7.511 c=7.846 alpha=106.46 beta=106.46 gamma=38.86
Sites, in units of the cell vectors:
1 Er 0.138 0.138 0.217
2 Er 0.862 0.862 0.783
3 Cd 0.083 0.083 0.767
4 Cd 0.311 0.311 0.003
5 Cd 0.389 0.389 0.434
6 Cd 0.611 0.611 0.566
7 Cd 0.689 0.689 0.997
8 Cd 0.917 0.917 0.233
9 Ag 0.245 0.245 0.614
10 Ag 0.482 0.482 0.814
11 Ag 0.518 0.518 0.186
12 Ag 0.755 0.755 0.386

=====

Below is NaZnIn2Ir after structural relaxation, with properties calculated at the PBE level.

- calculated volume (Å³/cell) = 118.0
- excess energy over the best structure of this formula in the dataset (eV per atom) = 0.980
- energy relative to the elements (eV per atom) = 0.872
- total magnetization (μB/atom) = 0.000

Unit cell a=4.962 b=4.962 c=4.792 alpha=90.00 beta=90.00 gamma=90.00
Sites, in units of the cell vectors:
1 Na 0.000 0.000 0.000
2 Zn 0.000 0.000 0.500
3 In 0.000 0.500 0.500
4 In 0.500 0.000 0.500
5 Ir 0.500 0.500 0.000

=====

Below is CuTe2P after structural relaxation, with properties calculated at the PBE level.

- calculated volume (Å³/cell) = 340.5
- E_form (uncorrected) (eV/atom) = 0.69
- total magnetization (μB/atom) = 0.000

Unit cell a=6.983 b=6.983 c=6.983 alpha=90.00 beta=90.00 gamma=90.00
Sites, in units of the cell vectors:
1 Cu 0.000 0.000 0.000
2 Cu 0.000 0.500 0.500
3 Cu 0.500 0.000 0.500
4 Cu 0.500 0.500 0.000
5 Te 0.000 0.000 0.500
6 Te 0.000 0.500 0.000
7 Te 0.250 0.250 0.750
8 Te 0.250 0.750 0.250
9 Te 0.500 0.000 0.000
10 Te 0.500 0.500 0.500
11 Te 0.750 0.250 0.250
12 Te 0.750 0.750 0.750
13 P 0.250 0.250 0.250
14 P 0.250 0.750 0.750
15 P 0.750 0.250 0.750
16 P 0.750 0.750 0.250

=====

Below is HfMg2Cd after structural relaxation, with properties calculated at the PBE level.

- calculated volume (Å³/cell) = 272.0
- energy relative to the elements (eV per atom) = 0.244
- total magnetization (μB/atom) = 0.000

Unit cell a=3.074 b=3.074 c=33.248 alpha=90.00 beta=90.00 gamma=120.00
Sites, in units of the cell vectors:
1 Hf 0.000 0.000 0.000
2 Hf 0.333 0.667 0.667
3 Hf 0.667 0.333 0.333
4 Mg 0.000 0.000 0.091
5 Mg 0.000 0.000 0.909
6 Mg 0.333 0.667 0.576
7 Mg 0.333 0.667 0.757
8 Mg 0.667 0.333 0.243
9 Mg 0.667 0.333 0.424
10 Cd 0.000 0.000 0.500
11 Cd 0.333 0.667 0.167
12 Cd 0.667 0.333 0.833

=====

Below is FeNiB2 after structural relaxation, with properties calculated at the PBE level.

- calculated volume (Å³/cell) = 173.1
- excess energy over the best structure of this formula in the dataset (eV per atom) = 0.623
- energy relative to the elements (eV per atom) = 0.622
- total magnetization (μB/atom) = 0.000

Unit cell a=4.430 b=4.430 c=8.821 alpha=90.00 beta=90.00 gamma=90.00
Sites, in units of the cell vectors:
1 Fe 0.000 0.000 0.000
2 Fe 0.000 0.500 0.250
3 Fe 0.500 0.000 0.750
4 Fe 0.500 0.500 0.500
5 Ni 0.000 0.000 0.500
6 Ni 0.000 0.500 0.750
7 Ni 0.500 0.000 0.250
8 Ni 0.500 0.500 0.000
9 B 0.241 0.250 0.125
10 B 0.250 0.741 0.375
11 B 0.250 0.759 0.875
12 B 0.259 0.250 0.625
13 B 0.741 0.750 0.625
14 B 0.750 0.241 0.875
15 B 0.750 0.259 0.375
16 B 0.759 0.750 0.125

=====

Below is Pm2TmScS4 after structural relaxation, with properties calculated at the PBE level.

- calculated volume (Å³/cell) = 168.3
- E_form (uncorrected) (eV/atom) = -1.96
- total magnetization (μB/atom) = 0.000

Unit cell a=6.689 b=3.844 c=6.910 alpha=90.00 beta=108.72 gamma=90.00
Sites, in units of the cell vectors:
1 Pm 0.000 0.000 0.000
2 Pm 0.500 0.500 0.000
3 Tm 0.000 0.500 0.500
4 Sc 0.500 0.000 0.500
5 S 0.247 0.000 0.728
6 S 0.263 0.500 0.275
7 S 0.737 0.500 0.725
8 S 0.753 0.000 0.272

=====

Below is Sb2Pb4Br3 after structural relaxation, with properties calculated at the PBE level.

- calculated volume (Å³/cell) = 321.2
- E_form (uncorrected) (eV/atom) = -0.39
- total magnetization (μB/atom) = 0.000

Unit cell a=4.511 b=4.511 c=18.224 alpha=90.00 beta=90.00 gamma=120.00
Sites, in units of the cell vectors:
1 Sb 0.333 0.667 0.211
2 Sb 0.667 0.333 0.789
3 Pb 0.000 0.000 0.319
4 Pb 0.000 0.000 0.681
5 Pb 0.333 0.667 0.880
6 Pb 0.667 0.333 0.120
7 Br 0.000 0.000 0.000
8 Br 0.333 0.667 0.590
9 Br 0.667 0.333 0.410

=====

Below is ScFe2Re2 after structural relaxation, with properties calculated at the PBE level.

- calculated volume (Å³/cell) = 142.6
- excess energy over the best structure of this formula in the dataset (eV per atom) = 0.000
- energy relative to the elements (eV per atom) = 0.077
- total magnetization (μB/atom) = 0.000

Unit cell a=7.254 b=7.254 c=2.710 alpha=90.00 beta=90.00 gamma=90.00
Sites, in units of the cell vectors:
1 Sc 0.000 0.000 0.000
2 Sc 0.500 0.500 0.000
3 Fe 0.123 0.377 0.000
4 Fe 0.377 0.877 0.000
5 Fe 0.623 0.123 0.000
6 Fe 0.877 0.623 0.000
7 Re 0.169 0.669 0.500
8 Re 0.331 0.169 0.500
9 Re 0.669 0.831 0.500
10 Re 0.831 0.331 0.500

=====

Final energy, respectively: -12.788 -59.827 -13.314 -63.984 -27.734 -12.571 -52.166 -39.240 -100.442 -52.488 -31.645 -95.534 eV for the cell shown.